The following is a DFT calculation (PBE) of crystalline La3Nd6Tl2 at its relaxed geometry.

Properties
Magnetic moment (μB per atom): 0.0309
Formation enthalpy at 0 K (meV/atom): 88
SG: I4/mmm (139)
N(E_F) (states/eV/cell): 18.56
Energy (eV per atom): -4.287

a b c (Å): 18.3527 18.3527 18.3527
angles (deg): 165.25 165.25 20.91
Atoms (fractional coordinates):
La: 0.0000 0.0000 0.0000
La: 0.1695 0.1695 0.0000
La: 0.8305 0.8305 0.0000
Nd: 0.0813 0.5813 0.5000
Nd: 0.2700 0.2700 0.0000
Nd: 0.4187 0.9187 0.5000
Nd: 0.5813 0.0813 0.5000
Nd: 0.7300 0.7300 0.0000
Nd: 0.9187 0.4187 0.5000
Tl: 0.3567 0.3567 0.0000
Tl: 0.6433 0.6433 0.0000